Entry A
DFT (PBE-GGA) results for AcSm2Pd after structural relaxation.

Unit cell a=6.709 b=7.402 c=10.238 alpha=90.00 beta=90.00 gamma=90.00
Fractional coordinates of all 16 atoms:
Sm 0.167 0.677 0.437
Pd 0.089 0.386 0.250
Pd 0.411 0.886 0.250
Sm 0.333 0.177 0.063
Ac 0.643 0.526 0.250
Sm 0.667 0.823 0.563
Sm 0.833 0.323 0.563
Pd 0.911 0.614 0.750
Sm 0.167 0.677 0.063
Sm 0.667 0.823 0.937
Ac 0.357 0.474 0.750
Sm 0.333 0.177 0.437
Pd 0.589 0.114 0.750
Ac 0.857 0.026 0.250
Ac 0.143 0.974 0.750
Sm 0.833 0.323 0.937

Computed properties:
space group	Pnma
DOS(E_F)	18.257	states/eV per cell

=====

Entry B
DFT (PBE-GGA) results for AcSm2Pd after structural relaxation.

Unit cell a=3.690 b=3.690 c=9.085 alpha=90.00 beta=90.00 gamma=90.00
Fractional coordinates of all 4 atoms:
Sm 0.000 0.000 0.816
Sm 0.000 0.000 0.184
Ac 0.500 0.500 0.500
Pd 0.500 0.500 0.000

Computed properties:
space group	P4/mmm
DOS(E_F)	4.337	states/eV per cell

=====

Entry C
DFT (PBE-GGA) results for AcSm2Pd after structural relaxation.

Unit cell a=3.998 b=3.998 c=10.021 alpha=78.49 beta=78.49 gamma=60.00
Fractional coordinates of all 4 atoms:
Sm 0.726 0.726 0.823
Ac 0.500 0.500 0.500
Pd 0.000 0.000 0.000
Sm 0.274 0.274 0.177

Computed properties:
space group	R-3m
DOS(E_F)	5.539	states/eV per cell

=====

Entry D
DFT (PBE-GGA) results for AcSm2Pd after structural relaxation.

Unit cell a=3.872 b=5.523 c=5.523 alpha=90.00 beta=90.00 gamma=90.00
Fractional coordinates of all 4 atoms:
Sm 0.000 0.500 0.000
Pd 0.500 0.000 0.000
Sm 0.000 0.000 0.500
Ac 0.500 0.500 0.500

Computed properties:
space group	P4/mmm
DOS(E_F)	4.895	states/eV per cell

=====

Of the structures shown above, entry D is the least stable.